CsU3Te6 after structural relaxation, computed with PBE-GGA.

It has space group P2_1/m (No. 11), with a = 13.6587 Å, b = 4.4198 Å, c = 13.6817 Å, α = 90.00°, β = 106.88° and γ = 90.00°. The asymmetric unit holds Cs at (0.1070, 0.2500, 0.3769), U at (0.1513, 0.2500, 0.0359), U at (0.2923, 0.7500, 0.7370), U at (0.4653, 0.7500, 0.3579), Te at (0.0525, 0.7500, 0.1332), Te at (0.1383, 0.2500, 0.6576), Te at (0.2573, 0.7500, 0.9507), Te at (0.3191, 0.2500, 0.2483), Te at (0.3728, 0.7500, 0.5417) and Te at (0.4485, 0.2500, 0.8224).

=====

Cs3U2Te9 after structural relaxation, computed with PBE-GGA.

It has space group P-3m1 (No. 164), with a = 8.1567 Å, b = 8.1567 Å, c = 10.0211 Å, α = 90.00°, β = 90.00° and γ = 120.00°. The asymmetric unit holds Cs at (0.0000, 0.0000, 0.0000), Cs at (0.3333, 0.6667, 0.3405), U at (0.3333, 0.6667, 0.8216), Te at (0.0000, 0.5000, 0.0000) and Te at (0.1641, 0.3281, 0.6650).

=====

Values for formation energy (no corrections), eV/f.u., ordered as above
-6.832; -8.282
Values for volume, Å³ per cell, ordered as above
790; 577
Values for electronic total energy, eV per atom, ordered as above
-6.04; -4.41